! Zn2AgW (PBE, relaxed); values from VASP
! - Symmetry: Cm, No. 8
! - V: 15.72 Å³ per atom
! - Calculated formation energy: 0.295 eV/atom
! - Total magnetization: 0.00 μB/f.u.
! - Energy above the lowest structure with this stoichiometry: 0.156 eV/atom
&SYSTEM
  ibrav = 0, nat = 4, ntyp = 3
/
ATOMIC_SPECIES
Ag 107.87 Ag.upf
W 183.84 W.upf
Zn 65.41 Zn.upf
ATOMIC_POSITIONS crystal
Ag 0.500 0.500 0.589
W 0.254 0.254 0.153
Zn 0.999 0.999 0.095
Zn 0.747 0.747 0.663
CELL_PARAMETERS angstrom
-0.478 -2.669 4.628
1.480 -3.926 3.341
3.240 1.518 3.448